CeFeSi2 after structural relaxation. Source: Alexandria via LeMat-Bulk, functional PBE.

Properties
* formation energy (no corrections): -0.689 eV/atom
* magnetic moment: 0.00 μB/cell
* D(E_F): 8.2 states/eV/cell
* uncorrected energy: -7.000 eV/atom

Unit cell a=8.4858 b=8.4858 c=4.0146 alpha=90.00 beta=90.00 gamma=152.25
Fractional coordinates of all 8 atoms:
Ce1 0.6100 0.3900 0.2500
Ce2 0.3900 0.6100 0.7500
Fe1 0.2502 0.7498 0.2500
Fe2 0.7498 0.2502 0.7500
Si1 0.9632 0.0368 0.2500
Si2 0.0368 0.9632 0.7500
Si3 0.8148 0.1852 0.2500
Si4 0.1852 0.8148 0.7500